Entry 1:
A plane-wave DFT calculation with PBE-GGA was carried out for crystalline Al2Zn2Tc at its relaxed geometry.

Calculated values
- Crystal system: monoclinic

POSCAR file:
```
Al2Zn2Tc
1.0
3.423 0.000 0.000
-1.712 4.246 -1.255
0.000 -2.761 5.831
Tc Zn Al
1 2 2
direct
0.000 0.000 0.000
0.395 0.789 0.595
0.605 0.211 0.405
0.205 0.411 0.808
0.795 0.589 0.192
```

---

Entry 2:
A plane-wave DFT calculation with PBE-GGA was carried out for crystalline Al2Zn2Tc at its relaxed geometry.

Calculated values
- Crystal system: monoclinic

POSCAR file:
```
Al2Zn2Tc
1.0
5.040 0.000 -1.445
0.000 5.503 0.000
-0.921 0.000 10.968
Zn Al Tc
8 8 4
direct
0.246 0.250 0.493
0.254 0.750 0.507
0.538 0.752 0.883
0.962 0.252 0.117
0.462 0.248 0.117
0.754 0.750 0.507
0.038 0.748 0.883
0.746 0.250 0.493
0.041 0.252 0.890
0.541 0.248 0.890
0.645 0.527 0.695
0.145 0.973 0.695
0.355 0.473 0.305
0.459 0.752 0.110
0.959 0.748 0.110
0.855 0.027 0.305
0.355 0.951 0.303
0.855 0.549 0.303
0.145 0.451 0.697
0.645 0.049 0.697
```

---

Entry 3:
A plane-wave DFT calculation with PBE-GGA was carried out for crystalline Al8Zn5Tc at its relaxed geometry.

Calculated values
- Crystal system: tetragonal

POSCAR file:
```
Al8Zn5Tc
1.0
6.613 -0.474 -1.788
-3.981 5.302 -1.788
0.258 0.474 6.845
Al Tc Zn
8 1 5
direct
0.382 0.483 0.374
0.517 0.891 0.899
0.615 0.231 0.693
0.538 0.922 0.307
0.992 0.618 0.101
0.109 0.008 0.626
0.078 0.385 0.617
0.769 0.462 0.383
0.250 0.750 0.500
0.290 0.067 0.076
0.787 0.710 0.777
0.990 0.213 0.924
0.933 0.010 0.223
0.500 0.500 0.000
```

---

Entry 4:
A plane-wave DFT calculation with PBE-GGA was carried out for crystalline Al2ZnTc at its relaxed geometry.

Calculated values
- Crystal system: orthorhombic

POSCAR file:
```
Al2ZnTc
1.0
-0.900 4.523 1.889
-3.636 2.633 -2.162
0.782 -4.444 2.114
Al Tc Zn
2 1 1
direct
0.745 0.245 0.500
0.004 0.004 0.000
0.500 0.500 0.000
0.251 0.751 0.500
```

---

Entry 5:
A plane-wave DFT calculation with PBE-GGA was carried out for crystalline Al2ZnTc at its relaxed geometry.

Calculated values
- Crystal system: trigonal

POSCAR file:
```
Al2ZnTc
1.0
2.887 0.000 0.000
1.444 2.500 0.000
1.444 0.833 8.455
Al Tc Zn
2 1 1
direct
0.254 0.254 0.239
0.080 0.080 0.761
0.666 0.666 0.001
0.500 0.500 0.499
```

---

Entry 6:
A plane-wave DFT calculation with PBE-GGA was carried out for crystalline Al2ZnTc at its relaxed geometry.

Calculated values
- Crystal system: tetragonal

POSCAR file:
```
Al2ZnTc
1.0
2.741 0.007 0.000
-0.008 2.741 0.000
0.000 0.000 8.096
Zn Al Tc
1 2 1
direct
0.500 0.500 0.743
0.000 0.000 0.997
0.500 0.500 0.263
0.000 0.000 0.497
```

---

Entry 7:
A plane-wave DFT calculation with PBE-GGA was carried out for crystalline AlZn4Tc at its relaxed geometry.

Calculated values
- Crystal system: orthorhombic

POSCAR file:
```
AlZn4Tc
1.0
3.645 0.000 0.000
-1.822 5.795 0.000
0.000 0.000 8.235
Tc Zn Al
2 8 2
direct
0.667 0.334 0.809
0.333 0.666 0.309
0.998 0.995 0.797
0.165 0.330 0.560
0.835 0.670 0.060
0.002 0.005 0.297
0.501 0.003 0.054
0.664 0.329 0.303
0.499 0.997 0.554
0.336 0.671 0.803
0.825 0.650 0.544
0.175 0.350 0.044
```

---

Entry 8:
A plane-wave DFT calculation with PBE-GGA was carried out for crystalline Al2ZnTc at its relaxed geometry.

Calculated values
- Crystal system: tetragonal

POSCAR file:
```
Al2ZnTc
1.0
3.266 0.000 0.000
0.000 3.266 0.000
0.000 0.000 5.519
Tc Al Zn
1 2 1
direct
0.500 0.500 0.250
0.000 0.000 0.015
0.000 0.000 0.485
0.500 0.500 0.750
```

---

Entry 9:
A plane-wave DFT calculation with PBE-GGA was carried out for crystalline Al2ZnTc at its relaxed geometry.

Calculated values
- Crystal system: monoclinic

POSCAR file:
```
Al2ZnTc
1.0
-4.522 -1.437 0.006
-3.136 -3.226 -1.509
0.300 -2.996 3.813
Al Tc Zn
2 1 1
direct
0.491 0.491 0.510
0.009 0.009 0.990
0.750 0.750 0.750
0.250 0.250 0.250
```

---

Entry 10:
A plane-wave DFT calculation with PBE-GGA was carried out for crystalline Al2ZnTc at its relaxed geometry.

Calculated values
- Crystal system: orthorhombic

POSCAR file:
```
Al2ZnTc
1.0
-0.016 1.609 -4.552
2.992 -2.514 -2.836
-3.618 -1.050 3.020
Zn Tc Al
1 1 2
direct
0.250 0.750 0.500
0.750 0.250 0.500
0.499 0.499 0.000
0.001 0.001 0.000
```

---

Entry 11:
A plane-wave DFT calculation with PBE-GGA was carried out for crystalline Al2ZnTc at its relaxed geometry.

Calculated values
- Crystal system: orthorhombic

POSCAR file:
```
Al2ZnTc
1.0
-4.235 1.104 1.310
-0.911 -2.389 -0.932
0.799 -1.954 4.230
Al Zn Tc
2 1 1
direct
0.000 0.125 0.949
0.500 0.125 0.303
0.500 0.625 0.796
0.000 0.625 0.453
```

---

Entry 12:
A plane-wave DFT calculation with PBE-GGA was carried out for crystalline Al2ZnTc at its relaxed geometry.

Calculated values
- Crystal system: cubic

POSCAR file:
```
Al2ZnTc
1.0
4.357 0.000 0.000
2.179 3.774 0.000
2.179 1.258 3.558
Al Tc Zn
2 1 1
direct
0.000 0.000 0.000
0.750 0.750 0.750
0.500 0.500 0.500
0.250 0.250 0.250
```

---

Entry 13:
A plane-wave DFT calculation with PBE-GGA was carried out for crystalline AlZn3Tc at its relaxed geometry.

Calculated values
- Crystal system: cubic

POSCAR file:
```
AlZn3Tc
1.0
4.837 0.000 0.000
0.000 4.837 0.000
0.000 0.000 4.837
Zn Tc Al
3 1 1
direct
0.000 0.500 0.000
0.000 0.000 0.500
0.500 0.000 0.000
0.000 0.000 0.000
0.500 0.500 0.500
```

---

Entry 14:
A plane-wave DFT calculation with PBE-GGA was carried out for crystalline Al2ZnTc at its relaxed geometry.

Calculated values
- Crystal system: monoclinic

POSCAR file:
```
Al2ZnTc
1.0
4.911 0.007 -0.031
4.149 2.627 -0.031
0.645 0.188 4.613
Al Zn Tc
2 1 1
direct
0.000 0.000 0.015
0.759 0.759 0.725
0.242 0.242 0.243
0.500 0.500 0.516
```

---

Entry 15:
A plane-wave DFT calculation with PBE-GGA was carried out for crystalline AlZn3Tc at its relaxed geometry.

Calculated values
- Crystal system: cubic

POSCAR file:
```
AlZn3Tc
1.0
4.636 0.000 0.000
0.000 4.636 0.000
0.000 0.000 4.636
Zn Tc Al
3 1 1
direct
0.500 0.000 0.000
0.000 0.000 0.500
0.000 0.500 0.000
0.500 0.500 0.500
0.000 0.000 0.000
```

---

Entry 16:
A plane-wave DFT calculation with PBE-GGA was carried out for crystalline AlZn2Tc2 at its relaxed geometry.

Calculated values
- Crystal system: tetragonal

POSCAR file:
```
AlZn2Tc2
1.0
-5.707 -3.003 -0.954
1.901 -1.707 -5.997
1.434 -3.154 1.352
Zn Al Tc
4 2 4
direct
0.669 0.831 0.500
0.169 0.669 0.500
0.831 0.331 0.500
0.331 0.169 0.500
0.500 0.500 0.000
0.000 0.000 0.000
0.870 0.630 0.000
0.630 0.130 0.000
0.370 0.870 0.000
0.130 0.370 0.000
```

---

Entry 17:
A plane-wave DFT calculation with PBE-GGA was carried out for crystalline Al2ZnTc at its relaxed geometry.

Calculated values
- Crystal system: orthorhombic

POSCAR file:
```
Al2ZnTc
1.0
2.794 -0.034 0.000
-1.015 2.603 0.000
0.000 0.000 8.444
Al Tc Zn
2 1 1
direct
0.000 0.000 0.487
0.000 0.000 0.013
0.500 0.500 0.250
0.500 0.500 0.750
```

---

Entry 18:
A plane-wave DFT calculation with PBE-GGA was carried out for crystalline Al6ZnTc at its relaxed geometry.

Calculated values
- Crystal system: monoclinic

POSCAR file:
```
Al6ZnTc
1.0
-5.252 -0.468 -2.064
-4.469 -1.914 3.247
-3.202 3.693 3.032
Zn Tc Al
1 1 6
direct
0.000 0.000 0.000
0.500 0.500 0.000
0.761 0.480 0.558
0.239 0.962 0.558
0.750 0.747 0.000
0.761 0.038 0.442
0.250 0.253 0.000
0.239 0.520 0.442
```

---

Entry 19:
A plane-wave DFT calculation with PBE-GGA was carried out for crystalline Al2ZnTc at its relaxed geometry.

Calculated values
- Crystal system: tetragonal

POSCAR file:
```
Al2ZnTc
1.0
-2.019 0.483 -2.653
-2.455 -1.701 1.559
-1.743 4.477 2.141
Zn Tc Al
1 1 2
direct
0.500 0.500 0.750
0.000 0.000 0.486
0.500 0.500 0.274
0.000 0.000 0.990
```

---

Entry 20:
A plane-wave DFT calculation with PBE-GGA was carried out for crystalline Al2ZnTc at its relaxed geometry.

Calculated values
- Crystal system: monoclinic

POSCAR file:
```
Al2ZnTc
1.0
4.224 0.000 0.000
0.000 2.701 0.056
0.000 0.852 5.178
Al Zn Tc
2 1 1
direct
0.000 0.917 0.005
0.000 0.583 0.495
0.500 0.750 0.750
0.500 0.250 0.250
```

---

Entry 21:
A plane-wave DFT calculation with PBE-GGA was carried out for crystalline Al2Zn2Tc at its relaxed geometry.

Calculated values
- Crystal system: tetragonal

POSCAR file:
```
Al2Zn2Tc
1.0
6.666 0.000 0.000
0.000 6.666 0.000
0.000 0.000 3.455
Al Zn Tc
4 4 2
direct
0.648 0.148 0.000
0.148 0.352 0.000
0.852 0.648 0.000
0.352 0.852 0.000
0.654 0.846 0.500
0.346 0.154 0.500
0.154 0.654 0.500
0.846 0.346 0.500
0.500 0.500 0.000
0.000 0.000 0.000
```

---

Entry 22:
A plane-wave DFT calculation with PBE-GGA was carried out for crystalline Al2Zn3Tc at its relaxed geometry.

Calculated values
- Crystal system: orthorhombic

POSCAR file:
```
Al2Zn3Tc
1.0
4.590 1.514 -1.973
0.405 4.816 -1.973
-0.471 -0.597 8.657
Zn Al Tc
6 4 2
direct
0.664 0.664 0.836
0.828 0.828 0.164
0.842 0.842 0.684
0.336 0.336 0.164
0.172 0.172 0.836
0.158 0.158 0.316
0.250 0.750 0.500
0.750 0.250 0.500
0.746 0.254 0.000
0.254 0.746 0.000
0.329 0.329 0.658
0.671 0.671 0.342
```

---

Entry 23:
A plane-wave DFT calculation with PBE-GGA was carried out for crystalline AlZn3Tc at its relaxed geometry.

Calculated values
- Crystal system: orthorhombic

POSCAR file:
```
AlZn3Tc
1.0
6.688 0.000 0.000
0.000 8.500 0.000
0.000 0.000 5.487
Al Tc Zn
4 4 12
direct
0.500 0.000 0.000
0.000 0.500 0.000
0.500 0.000 0.500
0.000 0.500 0.500
0.261 0.643 0.750
0.239 0.143 0.250
0.739 0.357 0.250
0.761 0.857 0.750
0.383 0.382 0.009
0.213 0.163 0.750
0.787 0.837 0.250
0.383 0.382 0.491
0.117 0.882 0.509
0.713 0.337 0.750
0.617 0.618 0.991
0.617 0.618 0.509
0.883 0.118 0.009
0.287 0.663 0.250
0.883 0.118 0.491
0.117 0.882 0.991
```

---

Entry 24:
A plane-wave DFT calculation with PBE-GGA was carried out for crystalline Al6Zn3Tc at its relaxed geometry.

Calculated values
- Crystal system: trigonal

POSCAR file:
```
Al6Zn3Tc
1.0
7.045 -0.907 -0.927
-1.060 7.024 -0.927
-1.060 -1.083 7.002
Al Zn Tc
12 6 2
direct
0.542 0.198 0.636
0.198 0.636 0.542
0.058 0.824 0.283
0.458 0.802 0.364
0.717 0.942 0.176
0.942 0.176 0.717
0.364 0.458 0.802
0.283 0.058 0.824
0.176 0.717 0.942
0.824 0.283 0.058
0.636 0.542 0.198
0.802 0.364 0.458
0.884 0.770 0.598
0.598 0.884 0.770
0.770 0.598 0.884
0.402 0.116 0.230
0.230 0.402 0.116
0.116 0.230 0.402
0.000 0.000 0.000
0.500 0.500 0.500
```

---

Entry 25:
A plane-wave DFT calculation with PBE-GGA was carried out for crystalline Al2ZnTc at its relaxed geometry.

Calculated values
- Crystal system: trigonal

POSCAR file:
```
Al2ZnTc
1.0
-2.651 8.104 -0.785
-3.477 7.061 -3.372
-5.198 6.723 -1.051
Zn Al Tc
1 2 1
direct
0.750 0.750 0.750
0.997 0.997 0.997
0.503 0.503 0.503
0.250 0.250 0.250
```

---

| no. | E_form (meV/atom) | DFT total energy (eV/atom) |
| --- | --- | --- |
| 1 | -179 | -4.259 |
| 2 | -149 | -4.228 |
| 3 | 16 | -3.318 |
| 4 | -319 | -5.100 |
| 5 | -100 | -4.881 |
| 6 | 24 | -4.758 |
| 7 | -45 | -3.246 |
| 8 | -295 | -5.076 |
| 9 | -109 | -4.890 |
| 10 | -295 | -5.076 |
| 11 | -205 | -4.987 |
| 12 | 50 | -4.731 |
| 13 | 853 | -2.733 |
| 14 | -155 | -4.937 |
| 15 | 1113 | -2.473 |
| 16 | 122 | -5.283 |
| 17 | -27 | -4.808 |
| 18 | 166 | -4.096 |
| 19 | -192 | -4.973 |
| 20 | -102 | -4.883 |
| 21 | 146 | -3.934 |
| 22 | -32 | -3.644 |
| 23 | -20 | -3.606 |
| 24 | -58 | -3.723 |
| 25 | -91 | -4.872 |